[1]
Material: Tm7Co2Pd2
Method: DFT, PBE
State: relaxed

Lattice parameters (Å, degrees): 3.692 8.954 8.954 61.78 78.10 78.10
Element x y z (fractional)
Pd1 0.000 0.775 0.225
Tm1 0.381 0.720 0.518
Co1 0.258 0.345 0.140
Tm2 0.811 0.088 0.290
Tm3 0.862 0.396 0.880
Tm4 0.189 0.710 0.912
Tm5 0.619 0.482 0.280
Tm6 0.138 0.120 0.604
Pd2 0.500 0.347 0.653
Tm7 0.500 0.011 0.989
Co2 0.742 0.860 0.655

Results
* space group: Imm2 (44)
* energy of formation: -4.9 eV per formula unit

=====

[2]
Material: Tm5CoPd2
Method: DFT, PBE
State: relaxed

Lattice parameters (Å, degrees): 4.093 7.814 11.589 90.00 90.00 90.00
Element x y z (fractional)
Pd1 0.500 0.054 0.328
Tm1 0.000 0.345 0.302
Tm2 0.500 0.324 0.582
Tm3 0.000 0.655 0.698
Tm4 0.000 0.155 0.802
Tm5 0.000 0.000 0.500
Tm6 0.500 0.824 0.918
Tm7 0.500 0.176 0.082
Tm8 0.000 0.500 0.000
Pd2 0.500 0.946 0.672
Pd3 0.500 0.554 0.172
Co1 0.000 0.500 0.500
Pd4 0.500 0.446 0.828
Co2 0.000 0.000 0.000
Tm9 0.000 0.845 0.198
Tm10 0.500 0.676 0.418

Results
* space group: Pbam (55)
* energy of formation: -4.6 eV per formula unit

=====

[3]
Material: Tm5Co4Pd
Method: DFT, PBE
State: relaxed

Lattice parameters (Å, degrees): 3.324 3.324 16.659 90.00 90.00 90.00
Site moments in Bohr magnetons follow the coordinates.
Element x y z (fractional)
Tm1 0.500 0.500 0.108  -0.13
Tm2 0.500 0.500 0.500  -0.24
Pd1 0.000 0.000 0.000  0.03
Tm3 0.500 0.500 0.696  -0.23
Tm4 0.500 0.500 0.892  -0.13
Co1 0.000 0.000 0.598  0.63
Co2 0.000 0.000 0.402  0.63
Co3 0.000 0.000 0.796  0.70
Co4 0.000 0.000 0.204  0.70
Tm5 0.500 0.500 0.304  -0.23

Results
* space group: P4/mmm (123)
* energy of formation: -3.7 eV per formula unit

=====

[4]
Material: Tm4Co3Pd
Method: DFT, PBE
State: relaxed

Lattice parameters (Å, degrees): 3.889 3.923 10.346 90.00 90.00 90.00
Site moments in Bohr magnetons follow the coordinates.
Element x y z (fractional)
Tm1 0.000 0.500 0.849  -0.01
Co1 0.000 0.500 0.558  0.36
Tm2 0.000 0.000 0.148  -0.03
Pd1 0.500 0.500 0.077  0.00
Co2 0.000 0.000 0.441  0.39
Tm3 0.500 0.500 0.366  -0.09
Tm4 0.500 0.000 0.644  -0.07
Co3 0.500 0.000 0.917  -0.03

Results
* space group: Pmm2 (25)
* energy of formation: -3.1 eV per formula unit

=====

[5]
Material: Tm8CoPd2
Method: DFT, PBE
State: relaxed

Lattice parameters (Å, degrees): 5.920 7.657 7.657 116.37 102.30 102.30
Element x y z (fractional)
Pd1 0.493 0.704 0.317
Tm1 0.984 0.192 0.804
Tm2 0.357 0.910 0.659
Tm3 0.175 0.352 0.352
Co1 0.175 0.001 0.001
Tm4 0.357 0.659 0.910
Tm5 0.801 0.652 0.652
Tm6 0.589 0.096 0.346
Tm7 0.589 0.346 0.096
Pd2 0.493 0.317 0.704
Tm8 0.984 0.804 0.192

Results
* space group: Cm (8)
* energy of formation: -3.1 eV per formula unit

=====

[6]
Material: Tm8Co2Pd
Method: DFT, PBE
State: relaxed

Lattice parameters (Å, degrees): 4.853 6.642 8.814 106.40 105.98 90.00
Element x y z (fractional)
Tm1 0.037 0.784 0.073
Co1 0.187 0.710 0.374
Tm2 0.326 0.025 0.652
Tm3 0.963 0.216 0.927
Tm4 0.404 0.535 0.807
Tm5 0.798 0.676 0.596
Pd1 0.500 0.000 0.000
Tm6 0.596 0.465 0.193
Tm7 0.674 0.975 0.348
Tm8 0.202 0.324 0.404
Co2 0.813 0.290 0.626

Results
* space group: C2/m (12)
* energy of formation: -2.9 eV per formula unit

=====

Number 1: Fermi-level density of states 10.3 states/eV/f.u.. Number 2: Fermi-level density of states 6.2 states/eV/f.u.. Number 3: Fermi-level density of states 2.7 states/eV/f.u.. Number 4: Fermi-level density of states 6.2 states/eV/f.u.. Number 5: Fermi-level density of states 13.2 states/eV/f.u.. Number 6: Fermi-level density of states 12.2 states/eV/f.u..